# 1
# Sc2InSb

A relaxed Sc2InSb crystal (GGA-PBE, the Alexandria database).

a b c (Å): 3.8813 3.8813 8.2828
angles (deg): 76.45 76.45 60.00
Last column: nearest neighbours and their distance in Å.
Fractional positions:
In 0.4993 0.4993 0.5022  6 Sc 3.12-3.14
Sb 0.6676 0.6676 0.9972  6 Sc 2.86-2.89
Sc 0.0751 0.0751 0.7747  3 Sb 2.86, 3 In 3.12
Sc 0.2581 0.2581 0.2258  3 Sb 2.89, 3 In 3.14

Results
Formation energy from raw total energies ... -0.47 eV per atom
Electronic total energy ... -5.35 eV per atom
Energy above the lowest structure with this stoichiometry ... 135 meV/atom
Volume ... 26.007 Å³ per atom
D(E_F) ... 0.59 states/eV/atom

=====

# 2
# Zr2CrHRu

A relaxed Zr2CrHRu crystal (GGA-PBE, the Alexandria database).

a b c (Å): 5.1379 3.2551 5.1379
angles (deg): 90.00 90.00 90.00
Last column: nearest neighbours and their distance in Å.
Fractional positions:
H 0.0000 0.5000 0.0000  2 Ru 1.63
Cr 0.5000 0.5000 0.5000  8 Zr 3.04, 2 Cr 3.26
Ru 0.0000 0.0000 0.0000  2 H 1.63
Zr 0.5000 0.0000 0.0000  2 Ru 2.57
Zr 0.0000 0.0000 0.5000  2 Ru 2.57

Results
Electronic total energy ... -7.46 eV per atom
Energy above the lowest structure with this stoichiometry ... 680 meV/atom
Volume ... 17.186 Å³ per atom
D(E_F) ... 0.63 states/eV/atom

=====

# 3
# ScBeRu2

A relaxed ScBeRu2 crystal (GGA-PBE, the Alexandria database).

a b c (Å): 2.8235 2.8235 7.5288
angles (deg): 90.00 90.00 111.69
Last column: nearest neighbours and their distance in Å.
Fractional positions:
Sc 0.5000 0.5000 0.2500  4 Ru 2.65, 4 Sc 2.82
Be 0.5000 0.5000 0.7500  4 Ru 2.28
Ru 0.0000 0.0000 0.5327  2 Be 2.28
Ru 0.0000 0.0000 0.9673  2 Be 2.28

Results
Electronic total energy ... -7.24 eV per atom
Volume ... 13.944 Å³ per atom
D(E_F) ... 0.78 states/eV/atom